Below is a relaxed structure of Rb2CdCuF6, with properties calculated at the PBE level.

a b c (Å): 5.875 5.875 5.875
angles (deg): 60.00 60.00 60.00
Element x y z (fractional)
F 0.739 0.739 0.261
F 0.739 0.261 0.261
F 0.739 0.261 0.739
F 0.261 0.261 0.739
F 0.261 0.739 0.739
F 0.261 0.739 0.261
Rb 0.750 0.750 0.750
Rb 0.250 0.250 0.250
Cu 0.500 0.500 0.500
Cd 0.000 0.000 0.000

## Properties
final energy: -3.96 eV per atom
crystal system: cubic
symmetry: Fm-3m